Here is a relaxed Rb2Be2NiO4 crystal from Alexandria via LeMat-Bulk. Energies are from PBE with a Hubbard U.

Density   4.3 g/cm³
DFT total energy   -47.3 eV for the cell shown
Total magnetization   2.00 μB/cell

Geometry as CIF:
```
data_Rb2Be2NiO4
_chemical_formula_sum 'Rb2 Be2 Ni1 O4'
_symmetry_space_group_name_H-M 'P 1'
_symmetry_Int_Tables_number 1
_cell_length_a 7.1209
_cell_length_b 7.1209
_cell_length_c 5.9191
_cell_angle_alpha 103.35
_cell_angle_beta 103.35
_cell_angle_gamma 24.28
loop_
_symmetry_equiv_pos_as_xyz
'x,y,z'
loop_
_atom_site_label
_atom_site_type_symbol
_atom_site_fract_x
_atom_site_fract_y
_atom_site_fract_z
Rb1 Rb 0.1292 0.1292 0.0310
Rb2 Rb 0.8708 0.8708 0.9690
Be1 Be 0.3109 0.3109 0.4846
Be2 Be 0.6891 0.6891 0.5154
Ni1 Ni 0.0000 0.0000 0.5000
O1 O 0.2265 0.2265 0.6530
O2 O 0.4281 0.4281 0.6159
O3 O 0.5719 0.5719 0.3841
O4 O 0.7735 0.7735 0.3470
```